A relaxed structure of BiNO2F, computed with GGA-PBE.

Its uncorrected formation energy is 0.344 eV per atom.

The structure belongs to space group P4/mmm (No. 123); the cell edges are 4.212, 4.212 and 4.474 Å and the angles 90.00°, 90.00° and 90.00°. The inequivalent atoms are Bi at (0.000, 0.000, 0.000), N at (0.500, 0.500, 0.500), O at (0.000, 0.500, 0.000) and F at (0.000, 0.000, 0.500).

---

A relaxed structure of TlRuSe2Br, computed with GGA-PBE.

Its uncorrected formation energy is -0.019 eV per atom.

The structure belongs to space group P4/mmm (No. 123); the cell edges are 4.859, 4.859 and 5.540 Å and the angles 90.00°, 90.00° and 90.00°. The inequivalent atoms are Tl at (0.000, 0.000, 0.000), Ru at (0.500, 0.500, 0.500), Se at (0.000, 0.500, 0.500) and Br at (0.500, 0.500, 0.000).

---

A relaxed structure of BaAlAg2F8, computed with GGA-PBE.

Its uncorrected formation energy is -2.570 eV per atom.

The structure belongs to space group P-1 (No. 2); the cell edges are 4.821, 5.405 and 7.315 Å and the angles 81.93°, 86.48° and 88.87°. The inequivalent atoms are Ba at (0.000, 0.000, 0.000), Al at (0.000, 0.000, 0.500), Ag at (0.444, 0.470, 0.266), F at (0.122, 0.782, 0.698), F at (0.180, 0.825, 0.330), F at (0.296, 0.207, 0.505) and F at (0.458, 0.267, 0.987).

---

A relaxed structure of AcPuSc2, computed with GGA-PBE.

The calculation puts the formation energy from the elements at 0.229 eV/atom.

The structure belongs to space group P4/mmm (No. 123); the cell edges are 5.559, 5.559 and 3.847 Å and the angles 90.00°, 90.00° and 90.00°. The inequivalent atoms are Ac at (0.000, 0.000, 0.000), Pu at (0.500, 0.500, 0.000) and Sc at (0.000, 0.500, 0.500).

---

Total moment
In order: 2.93 0.00 1.05 5.78
Unit: μB per cell
Raw total energy
In order: -4.455 -4.075 -4.765 -7.547
Unit: eV/atom